No. 1
A relaxed structure of SmTmNiOs. Source: Alexandria, functional PBE.

abc: 6.819 6.819 6.819
angles: 90.00 90.00 90.00
Space group F-43m (No. 216)
Symmetry-distinct sites (fractional):
Sm1 0.000 0.000 0.000 x4
Tm1 0.000 0.000 0.500 x4
Ni1 0.250 0.250 0.250 x4
Os1 0.250 0.250 0.750 x4

Values from the calculation:
E_form = -96 kJ/mol of formula units

---

No. 2
A relaxed structure of Na2La2Mg15. Source: Alexandria, functional PBE.

abc: 10.5424 10.5424 15.2594
angles: 90.00 90.00 120.00
Space group R-3m (No. 166, hexagonal axes)
Symmetry-distinct sites (fractional):
Na1 0.0000 0.0000 0.0971 x6
La1 0.0000 0.0000 0.3388 x6
Mg1 0.0000 0.3151 0.0000 x18
Mg2 0.0000 0.5000 0.5000 x9
Mg3 0.0114 0.5057 0.1570 x18

Values from the calculation:
E_form = -62 kJ/mol of formula units

---

No. 3
A relaxed structure of KNi2Ag. Source: Alexandria, functional PBE.

abc: 4.110 4.110 4.214
angles: 90.00 90.00 90.00
Space group P4/mmm (No. 123)
Symmetry-distinct sites (fractional):
K1 0.000 0.000 0.000 x1
Ni1 0.000 0.500 0.500 x2
Ag1 0.500 0.500 0.000 x1

Values from the calculation:
Energy above the most stable polymorph in this dataset = 44.7 kJ per mole of atoms
E_form = 337 kJ/mol of formula units

---

No. 4
A relaxed structure of Tb2TmZn. Source: Alexandria, functional PBE.

abc: 7.517 7.517 7.517
angles: 90.00 90.00 90.00
Space group Fm-3m (No. 225)
Symmetry-distinct sites (fractional):
Tb1 0.250 0.250 0.250 x8
Tm1 0.000 0.000 0.000 x4
Zn1 0.000 0.000 0.500 x4

Values from the calculation:
Energy above the most stable polymorph in this dataset = 17.7 kJ per mole of atoms
E_form = 11 kJ/mol of formula units

---

No. 5
A relaxed structure of CaZnI2O. Source: Alexandria, functional PBE.

abc: 6.186 6.186 4.208
angles: 90.00 90.00 90.00
Space group P4/mmm (No. 123)
Symmetry-distinct sites (fractional):
Ca1 0.000 0.000 0.000 x1
Zn1 0.500 0.500 0.500 x1
I1 0.000 0.500 0.000 x2
O1 0.000 0.000 0.500 x1

Values from the calculation:
Energy above the most stable polymorph in this dataset = 32.8 kJ per mole of atoms
Raw formation energy = -12.84 kcal/mol of atoms

---

No. 6
A relaxed structure of NiOs2I. Source: Alexandria, functional PBE.

abc: 6.254 6.254 6.254
angles: 90.00 90.00 90.00
Space group Fm-3m (No. 225)
Symmetry-distinct sites (fractional):
Ni1 0.000 0.000 0.000 x4
Os1 0.250 0.250 0.250 x8
I1 0.000 0.000 0.500 x4

Values from the calculation:
Energy above the most stable polymorph in this dataset = 7.0 kJ per mole of atoms
Raw formation energy = 28.36 kcal/mol of atoms

---

No. 7
A relaxed structure of Ac2Ga3Cu4Pb. Source: Alexandria, functional PBE.

abc: 4.493 4.493 10.416
angles: 90.00 90.00 90.00
Space group P-4m2 (No. 115)
Symmetry-distinct sites (fractional):
Ac1 0.000 0.500 0.233 x2
Ga1 0.000 0.500 0.886 x2
Ga2 0.500 0.500 0.500 x1
Cu1 0.000 0.000 0.000 x1
Cu2 0.000 0.500 0.648 x2
Cu3 0.500 0.500 0.000 x1
Pb1 0.000 0.000 0.500 x1

Values from the calculation:
E_form = -328 kJ/mol of formula units

---

No. 8
A relaxed structure of La2SmErS6. Source: Alexandria, functional PBE.

abc: 7.1681 7.1681 18.6423
angles: 90.00 90.00 120.00
Space group R3 (No. 146, hexagonal axes)
Symmetry-distinct sites (fractional):
La1 0.0000 0.0000 0.0000 x3
La2 0.0000 0.0000 0.4983 x3
Sm1 0.0000 0.0000 0.2888 x3
Er1 0.0000 0.0000 0.7913 x3
S1 0.0210 0.3839 0.0562 x9
S2 0.0205 0.7204 0.8881 x9

Values from the calculation:
Raw formation energy = -48.36 kcal/mol of atoms

---

No. 9
A relaxed structure of MnGaSn2. Source: Alexandria, functional PBE.

abc: 3.1473 3.1473 30.3598
angles: 90.00 90.00 120.00
Space group R-3m (No. 166, hexagonal axes)
Symmetry-distinct sites (fractional):
Mn1 0.0000 0.0000 0.0000 x3
Ga1 0.0000 0.0000 0.5000 x3
Sn1 0.0000 0.0000 0.4055 x6

Values from the calculation:
E_form = 73 kJ/mol of formula units

---

No. 10
A relaxed structure of Cd5Hg5Bi. Source: Alexandria, functional PBE.

abc: 13.440 5.996 7.676
angles: 90.00 108.45 90.00
Space group C2/m (No. 12)
Symmetry-distinct sites (fractional):
Cd1 0.000 0.000 0.000 x2
Cd2 0.089 0.500 0.898 x4
Cd3 0.154 0.500 0.307 x4
Hg1 0.000 0.500 0.500 x2
Hg2 0.184 0.000 0.873 x4
Hg3 0.202 0.000 0.318 x4
Bi1 0.000 0.000 0.500 x2

Values from the calculation:
E_form = 72 kJ/mol of formula units

---

No. 11
A relaxed structure of Pr12Nd2Y7. Source: Alexandria, functional PBE.

abc: 15.3389 15.3389 3.6046
angles: 90.00 90.00 120.00
Space group P-6 (No. 174)
Symmetry-distinct sites (fractional):
Pr1 0.0512 0.2530 0.0000 x3
Pr2 0.1286 0.7124 0.5000 x3
Pr3 0.4154 0.1501 0.5000 x3
Pr4 0.4933 0.3960 0.0000 x3
Nd1 0.0000 0.0000 0.5000 x1
Nd2 0.3333 0.6667 0.0000 x1
Y1 0.0975 0.4775 0.5000 x3
Y2 0.2339 0.1880 0.0000 x3
Y3 0.6667 0.3333 0.5000 x1

Values from the calculation:
E_form = 85 kJ/mol of formula units

---

No. 12
A relaxed structure of PrY2ErSe6. Source: Alexandria, functional PBE.

abc: 7.2824 7.2824 19.5234
angles: 90.00 90.00 120.00
Space group R3 (No. 146, hexagonal axes)
Symmetry-distinct sites (fractional):
Pr1 0.0000 0.0000 0.0000 x3
Y1 0.0000 0.0000 0.2964 x3
Y2 0.0000 0.0000 0.8005 x3
Er1 0.0000 0.0000 0.4937 x3
Se1 0.0189 0.7129 0.3960 x9
Se2 0.0244 0.3569 0.5614 x9

Values from the calculation:
Raw formation energy = -42.63 kcal/mol of atoms

---

No. 13
A relaxed structure of CeBe2SiPd2. Source: Alexandria, functional PBE.

abc: 4.171 4.171 5.648
angles: 90.00 90.00 90.00
Space group P4/mmm (No. 123)
Symmetry-distinct sites (fractional):
Ce1 0.000 0.000 0.000 x1
Be1 0.000 0.500 0.500 x2
Si1 0.000 0.000 0.500 x1
Pd1 0.500 0.500 0.251 x2

Values from the calculation:
Raw formation energy = -4.35 kcal/mol of atoms

---

No. 14
A relaxed structure of LaIn2Hg8. Source: Alexandria, functional PBE.

abc: 9.695 13.962 4.573
angles: 90.00 96.94 90.00
Space group C2/m (No. 12)
Symmetry-distinct sites (fractional):
La1 0.000 0.000 0.000 x2
In1 0.000 0.379 0.500 x4
Hg1 0.000 0.238 0.000 x4
Hg2 0.166 0.500 0.985 x4
Hg3 0.183 0.139 0.537 x8

Values from the calculation:
Energy above the most stable polymorph in this dataset = 0.7 kJ per mole of atoms
E_form = -126 kJ/mol of formula units

---

No. 15
A relaxed structure of EuTmMgIn. Source: Alexandria, functional PBE.

abc: 7.659 7.659 7.659
angles: 90.00 90.00 90.00
Space group F-43m (No. 216)
Symmetry-distinct sites (fractional):
Eu1 0.000 0.000 0.000 x4
Tm1 0.000 0.000 0.500 x4
Mg1 0.250 0.250 0.750 x4
In1 0.250 0.250 0.250 x4

Values from the calculation:
E_form = -106 kJ/mol of formula units

---

No. 16
A relaxed structure of Au3CI. Source: Alexandria, functional PBE.

abc: 5.418 5.418 5.418
angles: 90.00 90.00 90.00
Space group Pm-3m (No. 221)
Symmetry-distinct sites (fractional):
Au1 0.000 0.000 0.500 x3
C1 0.500 0.500 0.500 x1
I1 0.000 0.000 0.000 x1

Values from the calculation:
Energy above the most stable polymorph in this dataset = 111.0 kJ per mole of atoms
Raw formation energy = 49.76 kcal/mol of atoms

---

No. 17
A relaxed structure of BaLiIn2Rh. Source: Alexandria, functional PBE.

abc: 5.186 5.186 5.120
angles: 90.00 90.00 90.00
Space group P4/mmm (No. 123)
Symmetry-distinct sites (fractional):
Ba1 0.000 0.000 0.000 x1
Li1 0.500 0.500 0.000 x1
In1 0.000 0.500 0.500 x2
Rh1 0.500 0.500 0.500 x1

Values from the calculation:
E_form = -166 kJ/mol of formula units

---

No. 18
A relaxed structure of InP2CS. Source: Alexandria, functional PBE.

abc: 5.109 5.109 4.971
angles: 90.00 90.00 90.00
Space group P4/mmm (No. 123)
Symmetry-distinct sites (fractional):
In1 0.000 0.000 0.000 x1
P1 0.000 0.500 0.000 x2
C1 0.500 0.500 0.500 x1
S1 0.000 0.000 0.500 x1

Values from the calculation:
Energy above the most stable polymorph in this dataset = 129.1 kJ per mole of atoms
Raw formation energy = 54.83 kcal/mol of atoms

---

No. 19
A relaxed structure of AcHg3Rh. Source: Alexandria, functional PBE.

abc: 5.731 6.319 6.810
angles: 90.00 90.61 90.00
Space group P2_1/m (No. 11)
Symmetry-distinct sites (fractional):
Ac1 0.153 0.250 0.135 x2
Hg1 0.103 0.750 0.380 x2
Hg2 0.364 0.012 0.692 x4
Rh1 0.335 0.750 0.025 x2

Values from the calculation:
E_form = -169 kJ/mol of formula units

---

No. 20
A relaxed structure of Pm2Al6Au3. Source: Alexandria, functional PBE.

abc: 7.9057 7.9057 4.1830
angles: 90.00 90.00 120.00
Space group P-62m (No. 189)
Symmetry-distinct sites (fractional):
Pm1 0.3333 0.6667 0.0000 x2
Al1 0.0000 0.1906 0.0000 x3
Al2 0.0000 0.6964 0.5000 x3
Au1 0.0000 0.3711 0.5000 x3

Values from the calculation:
E_form = -644 kJ/mol of formula units

---

No. 21
A relaxed structure of PaTe2Au. Source: Alexandria, functional PBE.

abc: 7.730 4.465 8.135
angles: 90.00 108.70 90.00
Space group Cm (No. 8)
Symmetry-distinct sites (fractional):
Pa1 0.000 0.000 0.000 x2
Te1 0.256 0.000 0.772 x2
Te2 0.442 0.000 0.322 x2
Au1 0.221 0.500 0.162 x2

Values from the calculation:
Energy above the most stable polymorph in this dataset = 0.0 kJ per mole of atoms
Raw formation energy = -13.85 kcal/mol of atoms

---

No. 22
A relaxed structure of BeSn2Ru. Source: Alexandria, functional PBE.

abc: 7.262 7.262 5.679
angles: 90.00 90.00 90.00
Space group I-42d (No. 122)
Symmetry-distinct sites (fractional):
Be1 0.000 0.000 0.000 x4
Sn1 0.232 0.250 0.125 x8
Ru1 0.000 0.000 0.500 x4

Values from the calculation:
E_form = 244 kJ/mol of formula units

---

No. 23
A relaxed structure of BeCdAu4. Source: Alexandria, functional PBE.

abc: 7.768 7.768 7.768
angles: 90.00 90.00 90.00
Space group F-43m (No. 216)
Symmetry-distinct sites (fractional):
Be1 0.000 0.000 0.000 x4
Cd1 0.250 0.250 0.750 x4
Au1 0.125 0.125 0.375 x16

Values from the calculation:
Energy above the most stable polymorph in this dataset = 38.4 kJ per mole of atoms
E_form = 162 kJ/mol of formula units

---

No. 24
A relaxed structure of InRe2H. Source: Alexandria, functional PBE.

abc: 5.020 5.020 9.674
angles: 90.00 90.00 90.00
Space group I4_1/amd (No. 141, origin choice 2)
Symmetry-distinct sites (fractional):
In1 0.000 0.250 0.375 x4
Re1 0.000 0.000 0.000 x8
H1 0.000 0.250 0.875 x4

Values from the calculation:
Energy above the most stable polymorph in this dataset = 0.0 kJ per mole of atoms

---

No. 25
A relaxed structure of RbHIF. Source: Alexandria, functional PBE.

abc: 4.9934 4.9934 5.2793
angles: 90.00 90.00 120.00
Space group P3m1 (No. 156)
Symmetry-distinct sites (fractional):
Rb1 0.0000 0.0000 0.0000 x1
H1 0.3333 0.6667 0.3197 x1
I1 0.6667 0.3333 0.5422 x1
F1 0.3333 0.6667 0.1384 x1

Values from the calculation:
Total energy = -3.444 eV/atom